(1)
Ba3TmAl2O8, optimized geometry, DFT PBE; formation energy without anion corrections = -2.88 eV/atom; size of the total moment = 1.1 μB per cell; symmetry = P-3m1; crystal system = trigonal
1.0
5.909 0.000 0.000
-2.955 5.118 0.000
0.000 0.000 7.563
Ba Tm Al O
3 1 2 8
Cartesian
0.000 0.000 0.000
0.000 3.412 5.040
2.955 1.706 2.523
0.000 0.000 3.782
0.000 3.412 1.755
2.955 1.706 5.808
0.000 1.763 2.427
-1.428 4.236 2.427
0.000 3.412 0.003
1.527 0.881 5.136
1.428 4.236 2.427
2.955 1.706 7.560
4.383 0.881 5.136
2.955 3.355 5.136

(2)
Ba6Tm2Al4O15, optimized geometry, DFT PBE; formation energy without anion corrections = -3.04 eV/atom; size of the total moment = 0.0 μB per cell; symmetry = P2/c; crystal system = monoclinic
1.0
7.894 0.000 0.000
0.000 5.933 0.000
-0.546 0.000 18.467
Ba Tm Al O
12 4 8 30
Cartesian
-0.136 1.068 4.617
-0.409 4.865 13.850
-0.492 1.511 16.952
-0.220 4.422 7.718
3.220 1.467 16.812
3.493 4.466 7.579
3.811 1.372 4.617
3.538 4.561 13.850
3.855 1.467 10.888
4.128 4.466 1.655
7.568 1.511 10.749
7.841 4.422 1.515
1.940 1.479 1.646
1.667 4.454 10.880
5.681 1.479 7.587
5.408 4.454 16.821
1.746 1.469 8.218
1.474 4.465 17.451
1.800 1.569 13.497
2.073 4.365 4.263
5.275 1.569 14.204
5.548 4.365 4.970
5.875 1.469 1.016
5.602 4.465 10.249
0.072 1.504 7.556
-0.201 4.430 16.789
1.048 1.067 14.987
1.321 4.866 5.753
1.719 2.837 3.424
1.447 3.096 12.658
1.657 0.236 12.299
1.930 5.697 3.066
1.803 2.880 9.344
2.075 3.053 0.110
1.538 0.016 18.461
1.811 5.917 9.227
3.295 1.550 7.295
3.022 4.383 16.529
3.538 1.708 13.850
3.811 4.225 4.617
4.326 1.550 1.938
4.054 4.383 11.172
5.538 0.016 9.240
5.810 5.917 0.006
5.273 2.880 18.357
5.546 3.053 9.123
5.419 0.236 15.401
5.692 5.697 6.168
5.902 2.837 5.809
5.629 3.096 15.043
6.027 1.067 12.714
6.300 4.866 3.480
7.549 1.504 1.678
7.276 4.430 10.911

(3)
BaU2AlO8, optimized geometry, DFT PBE; formation energy without anion corrections = -2.95 eV/atom; size of the total moment = 1.0 μB per cell; symmetry = C2/m; crystal system = monoclinic
1.0
3.807 -3.372 0.000
3.807 3.372 0.000
-0.224 0.000 7.110
Ba U Al O
1 2 1 8
Cartesian
0.000 0.000 0.000
3.606 0.000 5.234
3.784 0.000 1.876
-0.112 0.000 3.555
3.709 2.039 2.215
3.682 2.039 4.895
2.331 0.000 3.584
2.588 0.000 0.145
4.802 0.000 6.965
5.059 0.000 3.526
3.709 -2.039 2.215
3.682 -2.039 4.895